The following is a GGA-PBE calculation of Zn2Te2I after structural relaxation, from the Alexandria database.

It has space group I4/mmm (No. 139), with a = 4.550 Å, b = 4.550 Å, c = 13.225 Å, α = 90.00°, β = 90.00° and γ = 90.00°. Symmetry generates all atoms from Zn at (0.000, 0.000, 0.094), Te at (0.000, 0.500, 0.250) and I at (0.000, 0.000, 0.500).

As for the uncorrected formation energy: 92 meV/atom. Its calculated volume is 27.385 Å³ per atom.


The following is a GGA-PBE calculation of Zr4Cu5 after structural relaxation, from the Alexandria database.

It has space group P6_3/mcm (No. 193), with a = 7.9727 Å, b = 7.9727 Å, c = 5.6215 Å, α = 90.00°, β = 90.00° and γ = 120.00°. Symmetry generates all atoms from Zr at (0.0000, 0.0000, 0.0000), Zr at (0.0000, 0.3550, 0.2500), Cu at (0.0000, 0.3223, 0.7500) and Cu at (0.3333, 0.6667, 0.0000).

Its calculated volume is 17.192 Å³ per atom. The energy above the most stable polymorph in this dataset comes out at 0.154 eV/f.u. The calculation puts the formation energy at -0.005 eV per atom.


The following is a GGA-PBE calculation of AcZn4Ga after structural relaxation, from the Alexandria database.

It has space group Pbam (No. 55), with a = 8.842 Å, b = 14.823 Å, c = 3.948 Å, α = 90.00°, β = 90.00° and γ = 90.00°. Symmetry generates all atoms from Ac at (0.142, 0.148, 0.000), Zn at (0.022, 0.335, 0.500), Zn at (0.113, 0.956, 0.500), Zn at (0.133, 0.519, 0.500), Zn at (0.171, 0.789, 0.500) and Ga at (0.209, 0.391, 0.000).

Its calculated volume is 21.560 Å³ per atom. The energy above the most stable polymorph in this dataset comes out at 0.000 eV/f.u. The calculation puts the formation energy at -0.180 eV per atom.


The following is a GGA-PBE calculation of La2Hg2O after structural relaxation, from the Alexandria database.

It has space group P4/mbm (No. 127), with a = 6.835 Å, b = 6.835 Å, c = 5.719 Å, α = 90.00°, β = 90.00° and γ = 90.00°. Symmetry generates all atoms from La at (0.184, 0.316, 0.000), Hg at (0.149, 0.649, 0.500) and O at (0.000, 0.000, 0.000).

As for the uncorrected formation energy: -1166 meV/atom. Its calculated volume is 26.721 Å³ per atom. The energy above the most stable polymorph in this dataset comes out at 0.000 eV/f.u.


Look up the calculated volume of the fourth one.
26.721 Å³ per atom


The highest calculated volume belongs to which entry?
Zn2Te2I


What is the calculated volume in the first record?
27.385 Å³ per atom